SrNiSe | PBE-GGA | relaxed

Summary:
Crystal system: triclinic
Calculated total energy in eV/cell: -27.05

Lattice parameters (Å, degrees): 4.013 6.005 6.039 99.15 109.37 90.17
Positions (direct):
Sr (0.106, 0.308, 0.215)
Sr (0.894, 0.692, 0.785)
Ni (0.205, 0.885, 0.410)
Ni (0.795, 0.115, 0.590)
Se (0.380, 0.253, 0.760)
Se (0.620, 0.747, 0.240)


SrNiSe3 | PBE-GGA | relaxed

Summary:
Crystal system: cubic
Calculated total energy in eV/cell: -21.39
Offset from the most stable computed form in eV per atom: 0.0000

Lattice parameters (Å, degrees): 4.848 4.848 4.848 90.00 90.00 90.00
Positions (direct):
Sr (0.000, 0.000, 0.000)
Ni (0.500, 0.500, 0.500)
Se (0.000, 0.500, 0.500)
Se (0.500, 0.000, 0.500)
Se (0.500, 0.500, 0.000)


Among the records above, which one has the highest calculated total energy? SrNiSe3